Density functional theory data (PBE) for crystalline SmAl3Ni3 at its relaxed geometry.

Structure (POSCAR):
```
SmAl3Ni3
1.0
-1.470 -1.034 6.165
2.903 -5.722 -0.267
5.536 2.726 1.777
Ni Al Sm
6 6 2
Direct
0.500 0.250 0.000 Ni
0.250 0.000 0.500 Ni
0.000 0.500 0.750 Ni
0.000 0.500 0.250 Ni
0.750 0.000 0.500 Ni
0.500 0.750 0.000 Ni
0.000 0.750 0.500 Al
0.500 0.000 0.750 Al
0.500 0.000 0.250 Al
0.250 0.500 0.000 Al
0.750 0.500 0.000 Al
0.000 0.250 0.500 Al
0.500 0.500 0.500 Sm
0.000 0.000 0.000 Sm
```

Output
Its density of states at the Fermi level is 0.83 states/eV per atom. As for the calculated total energy: -4.824 eV/atom. For the formation enthalpy at 0 K, the calculation gives -0.068 eV per atom.



Density functional theory data (PBE) for crystalline SmAlNi at its relaxed geometry.

Structure (POSCAR):
```
SmAlNi
1.0
-0.472 -2.770 -1.476
-1.207 -1.217 2.671
-4.238 3.673 -2.127
Ni Sm Al
1 1 1
Direct
0.694 0.694 0.388 Ni
0.011 0.011 0.022 Sm
0.295 0.295 0.591 Al
```

Output
Its density of states at the Fermi level is 1.09 states/eV per atom. As for the calculated total energy: -5.089 eV/atom. For the formation enthalpy at 0 K, the calculation gives -0.341 eV per atom.



Density functional theory data (PBE) for crystalline Sm11Al9Ni4 at its relaxed geometry.

Structure (POSCAR):
```
Sm11Al9Ni4
1.0
-0.907 -3.536 -0.179
8.867 -1.817 -9.027
4.549 -1.764 11.816
Sm Al Ni
11 9 4
Direct
0.000 0.586 0.930 Sm
0.000 0.626 0.374 Sm
0.000 0.835 0.165 Sm
0.000 0.000 0.000 Sm
0.000 0.374 0.626 Sm
0.000 0.689 0.689 Sm
0.000 0.165 0.835 Sm
0.000 0.930 0.586 Sm
0.000 0.070 0.414 Sm
0.000 0.414 0.070 Sm
0.000 0.311 0.311 Sm
0.500 0.831 0.368 Al
0.500 0.780 0.916 Al
0.500 0.169 0.632 Al
0.500 0.368 0.831 Al
0.500 0.220 0.084 Al
0.500 0.632 0.169 Al
0.500 0.500 0.500 Al
0.500 0.916 0.780 Al
0.500 0.084 0.220 Al
0.500 0.554 0.758 Ni
0.500 0.242 0.446 Ni
0.500 0.446 0.242 Ni
0.500 0.758 0.554 Ni
```

Output
Its density of states at the Fermi level is 0.72 states/eV per atom. As for the calculated total energy: -4.958 eV/atom. For the formation enthalpy at 0 K, the calculation gives -0.429 eV per atom.



Density functional theory data (PBE) for crystalline SmAl11Ni at its relaxed geometry.

Structure (POSCAR):
```
SmAl11Ni
1.0
4.755 -0.101 1.981
2.231 6.824 0.929
-0.037 -0.051 6.786
Al Ni Sm
11 1 1
Direct
0.357 0.640 0.652 Al
0.009 0.640 0.348 Al
0.500 0.000 0.500 Al
0.715 0.768 0.784 Al
0.500 0.232 0.784 Al
0.643 0.360 0.348 Al
0.285 0.232 0.216 Al
0.000 0.500 0.000 Al
0.991 0.360 0.652 Al
0.500 0.768 0.216 Al
0.000 0.000 0.500 Al
0.500 0.500 0.000 Ni
0.000 0.000 0.000 Sm
```

Output
Its density of states at the Fermi level is 0.40 states/eV per atom. As for the calculated total energy: -4.176 eV/atom. For the formation enthalpy at 0 K, the calculation gives -0.202 eV per atom.